w:
GGA-PBE TlZn2Ag2, relaxed; M_tot = 0.00 μB/cell; density of states at the Fermi level = 2.790 states/eV/cell; space-group type = P4/mbm
1.0
8.0095 0.0000 0.0000
0.0000 8.0095 0.0000
0.0000 0.0000 2.9906
Zn Ag Tl
4 4 2
Direct
0.8817 0.6183 0.0000
0.3817 0.8817 0.0000
0.1183 0.3817 0.0000
0.6183 0.1183 0.0000
0.8236 0.3236 0.5000
0.1764 0.6764 0.5000
0.3236 0.1764 0.5000
0.6764 0.8236 0.5000
0.0000 0.0000 0.0000
0.5000 0.5000 0.0000


x:
GGA-PBE TlZn2Ag2, relaxed; M_tot = 0.00 μB/cell; density of states at the Fermi level = 3.150 states/eV/cell; space-group type = P4/mbm
1.0
8.0439 0.0000 0.0000
0.0000 8.0439 0.0000
0.0000 0.0000 2.9754
Tl Ag Zn
2 4 4
Direct
0.5000 0.5000 0.0000
0.0000 0.0000 0.0000
0.3717 0.8717 0.0000
0.8717 0.6283 0.0000
0.6283 0.1283 0.0000
0.1283 0.3717 0.0000
0.1676 0.6676 0.5000
0.3324 0.1676 0.5000
0.6676 0.8324 0.5000
0.8324 0.3324 0.5000


y:
GGA-PBE TlZn2Ag2, relaxed; M_tot = 0.00 μB/cell; density of states at the Fermi level = 1.554 states/eV/cell; space-group type = I4/mmm
1.0
-1.1094 3.9135 0.2493
-2.6378 -0.9364 2.9621
2.5139 2.4639 5.8211
Tl Ag Zn
1 2 2
Direct
0.0000 0.0000 0.0000
0.7500 0.2500 0.5000
0.2500 0.7500 0.5000
0.6028 0.6028 0.7944
0.3972 0.3972 0.2056


z:
GGA-PBE TlZn2Ag2, relaxed; M_tot = 0.00 μB/cell; density of states at the Fermi level = 1.704 states/eV/cell; space-group type = I4/mmm
1.0
-2.3819 -0.4483 2.9479
2.6122 -2.1330 1.7864
2.7017 4.3452 5.3142
Ag Zn Tl
2 2 1
Direct
0.3918 0.3918 0.2164
0.6082 0.6082 0.7836
0.7500 0.2500 0.5000
0.2500 0.7500 0.5000
0.0000 0.0000 0.0000


What should be chosen as the least stable of them? Choose y.